1.
MgCF2 GGA-PBE relaxed; M_tot = 0.810 μB per cell; E_form (uncorrected) = -821 meV/atom; distance to the lowest polymorph of the same formula = 0 meV per atom; N(E_F) = 2.1 states/eV/f.u.
1.0
1.465 0.846 8.260
-1.465 0.846 8.260
0.000 -1.691 8.260
Mg C F
1 1 2
direct
0.000 0.000 0.000
0.500 0.500 0.500
0.374 0.374 0.374
0.626 0.626 0.626

=====

2.
MgCF2 GGA-PBE relaxed; M_tot = 2.000 μB per cell; E_form (uncorrected) = -201 meV/atom; distance to the lowest polymorph of the same formula = 620 meV per atom; N(E_F) = 3.4 states/eV/f.u.
1.0
0.000 2.783 2.783
2.783 0.000 2.783
2.783 2.783 0.000
Mg C F
1 1 2
direct
0.000 0.000 0.000
0.500 0.500 0.500
0.250 0.250 0.250
0.750 0.750 0.750

=====

3.
MgCF2 GGA-PBE relaxed; M_tot = 4.000 μB per cell; E_form (uncorrected) = -650 meV/atom; distance to the lowest polymorph of the same formula = 171 meV per atom; N(E_F) = 3.6 states/eV/f.u.
1.0
-2.955 2.955 4.349
2.955 -2.955 4.349
2.955 2.955 -4.349
Mg C F
2 2 4
direct
0.000 0.000 0.000
0.750 0.250 0.500
0.250 0.750 0.500
0.500 0.500 0.000
0.375 0.189 0.314
0.811 0.125 0.186
0.875 0.061 0.686
0.939 0.625 0.814

=====

4.
MgCNF2 GGA-PBE relaxed; M_tot = 0.150 μB per cell; E_form (uncorrected) = -579 meV/atom; distance to the lowest polymorph of the same formula = 0 meV per atom; N(E_F) = 1.3 states/eV/f.u.
1.0
4.520 0.000 0.000
0.000 4.520 0.000
0.000 0.000 2.515
Mg C N F
1 1 1 2
direct
0.000 0.000 0.000
0.500 0.500 0.500
0.500 0.500 0.000
0.000 0.500 0.500
0.500 0.000 0.500

=====

5.
MgCNF2 GGA-PBE relaxed; M_tot = 1.000 μB per cell; E_form (uncorrected) = 384 meV/atom; distance to the lowest polymorph of the same formula = 963 meV per atom; N(E_F) = 2.2 states/eV/f.u.
1.0
3.681 0.000 0.000
0.000 3.681 0.000
0.000 0.000 5.000
Mg C N F
1 1 1 2
direct
0.000 0.000 0.000
0.500 0.500 0.500
0.000 0.000 0.500
0.000 0.500 0.000
0.500 0.000 0.000

=====

6.
RbMgCO3F GGA-PBE relaxed; M_tot = 0.000 μB per cell; E_form (uncorrected) = -2255 meV/atom; N(E_F) = 0.0 states/eV/f.u.
1.0
9.134 0.000 0.000
-4.567 7.910 0.000
0.000 0.000 4.012
Rb Mg C O F
3 3 3 9 3
direct
0.000 0.383 0.000
0.383 0.000 0.000
0.617 0.617 0.000
0.000 0.719 0.500
0.281 0.281 0.500
0.719 0.000 0.500
0.000 0.000 0.500
0.333 0.667 0.500
0.667 0.333 0.500
0.000 0.142 0.500
0.142 0.000 0.500
0.200 0.681 0.500
0.319 0.518 0.500
0.482 0.800 0.500
0.518 0.319 0.500
0.681 0.200 0.500
0.800 0.482 0.500
0.858 0.858 0.500
0.000 0.721 0.000
0.279 0.279 0.000
0.721 0.000 0.000

=====

7.
MgC2S2O2F6 GGA-PBE relaxed; M_tot = 0.000 μB per cell; E_form (uncorrected) = -1347 meV/atom; N(E_F) = 0.0 states/eV/f.u.
1.0
4.655 0.000 0.000
-2.046 4.189 0.000
-2.141 -1.548 20.116
Mg C S O F
2 4 4 4 12
direct
0.000 0.000 0.000
0.500 0.000 0.500
0.056 0.132 0.348
0.320 0.698 0.155
0.680 0.302 0.845
0.944 0.868 0.652
0.096 0.235 0.438
0.294 0.663 0.063
0.706 0.337 0.937
0.904 0.765 0.562
0.264 0.610 0.444
0.343 0.205 0.948
0.657 0.795 0.052
0.736 0.390 0.556
0.009 0.659 0.688
0.039 0.681 0.171
0.188 0.166 0.666
0.327 0.131 0.329
0.368 0.458 0.183
0.434 0.022 0.819
0.566 0.978 0.181
0.632 0.542 0.817
0.673 0.869 0.671
0.812 0.834 0.334
0.961 0.319 0.829
0.991 0.341 0.312

=====

8.
MgOsC2F GGA-PBE relaxed; M_tot = 0.000 μB per cell; E_form (uncorrected) = 2364 meV/atom; N(E_F) = 4.8 states/eV/f.u.
1.0
4.174 0.000 0.000
0.000 4.174 0.000
0.000 0.000 3.784
Mg Os C F
1 1 2 1
direct
0.000 0.000 0.000
0.500 0.500 0.000
0.000 0.500 0.500
0.500 0.000 0.500
0.500 0.500 0.500

=====

9.
MgReC2F GGA-PBE relaxed; M_tot = 0.060 μB per cell; E_form (uncorrected) = 2906 meV/atom; N(E_F) = 5.4 states/eV/f.u.
1.0
3.883 0.000 0.000
0.000 3.883 0.000
0.000 0.000 4.943
Mg Re C F
1 1 2 1
direct
0.000 0.000 0.000
0.000 0.000 0.500
0.000 0.500 0.000
0.500 0.000 0.000
0.500 0.500 0.500

=====

10.
MgRhC2F GGA-PBE relaxed; M_tot = 1.178 μB per cell; E_form (uncorrected) = 2296 meV/atom; N(E_F) = 4.1 states/eV/f.u.
1.0
3.974 0.000 0.000
0.000 3.974 0.000
0.000 0.000 5.018
Mg Rh C F
1 1 2 1
direct
0.000 0.000 0.000
0.000 0.000 0.500
0.000 0.500 0.000
0.500 0.000 0.000
0.500 0.500 0.500

=====

11.
Mg2SnCF GGA-PBE relaxed; M_tot = 2.987 μB per cell; E_form (uncorrected) = 761 meV/atom; N(E_F) = 0.5 states/eV/f.u.
1.0
5.450 0.000 0.000
0.000 5.450 0.000
0.000 0.000 4.447
Mg Sn C F
2 1 1 1
direct
0.000 0.500 0.000
0.500 0.000 0.000
0.000 0.000 0.000
0.500 0.500 0.500
0.000 0.000 0.500

=====

12.
SrMgCF2 GGA-PBE relaxed; M_tot = 2.002 μB per cell; E_form (uncorrected) = -851 meV/atom; N(E_F) = 0.2 states/eV/f.u.
1.0
4.523 0.000 0.000
0.000 4.523 0.000
0.000 0.000 5.633
Sr Mg C F
1 1 1 2
direct
0.000 0.000 0.000
0.500 0.500 0.500
0.000 0.000 0.500
0.000 0.500 0.000
0.500 0.000 0.000

=====

13.
SrMgC2F GGA-PBE relaxed; M_tot = 0.000 μB per cell; E_form (uncorrected) = 973 meV/atom; N(E_F) = 3.7 states/eV/f.u.
1.0
4.763 0.000 0.000
0.000 4.763 0.000
0.000 0.000 3.626
Sr Mg C F
1 1 2 1
direct
0.000 0.000 0.000
0.500 0.500 0.000
0.000 0.500 0.500
0.500 0.000 0.500
0.500 0.500 0.500

=====

14.
MgTaCF2 GGA-PBE relaxed; M_tot = 2.785 μB per cell; E_form (uncorrected) = 1025 meV/atom; N(E_F) = 2.2 states/eV/f.u.
1.0
4.269 0.000 0.000
0.000 4.269 0.000
0.000 0.000 4.142
Mg Ta C F
1 1 1 2
direct
0.000 0.000 0.000
0.500 0.500 0.000
0.000 0.000 0.500
0.000 0.500 0.500
0.500 0.000 0.500